No. 1
# Ac2In4Pd3Pt (GGA-PBE, relaxed)
# Energy relative to the elements in meV per atom: -691
data_Ac2In4Pd3Pt
_chemical_formula_sum 'Ac2 In4 Pd3 Pt1'
_cell_length_a 4.8291
_cell_length_b 4.8291
_cell_length_c 10.4099
_cell_angle_alpha 90.00
_cell_angle_beta 90.00
_cell_angle_gamma 90.00
_symmetry_space_group_name_H-M 'P -4 m 2'
_symmetry_Int_Tables_number 115
loop_
_symmetry_equiv_pos_as_xyz
'x,y,z'
'y,-x,-z'
'-x,-y,z'
'-y,x,-z'
'-x,y,z'
'-y,-x,-z'
'x,-y,z'
'y,x,-z'
loop_
_atom_site_label
_atom_site_type_symbol
_atom_site_fract_x
_atom_site_fract_y
_atom_site_fract_z
_atom_site_occupancy
Ac1 Ac 0.0000 0.5000 0.2353 1
In1 In 0.0000 0.0000 0.5000 1
In2 In 0.0000 0.5000 0.8800 1
In3 In 0.5000 0.5000 0.5000 1
Pd1 Pd 0.0000 0.0000 0.0000 1
Pd2 Pd 0.0000 0.5000 0.6260 1
Pt1 Pt 0.5000 0.5000 0.0000 1

=====

No. 2
# Ac2InPd5Rh2 (GGA-PBE, relaxed)
# Energy relative to the elements in meV per atom: -564
data_Ac2InPd5Rh2
_chemical_formula_sum 'Ac4 In2 Pd10 Rh4'
_cell_length_a 9.7973
_cell_length_b 9.7973
_cell_length_c 4.1724
_cell_angle_alpha 90.00
_cell_angle_beta 90.00
_cell_angle_gamma 90.00
_symmetry_space_group_name_H-M 'P 4/m b m'
_symmetry_Int_Tables_number 127
_symmetry_space_group_name_Hall '-P 4 2ab'
loop_
_atom_site_label
_atom_site_type_symbol
_atom_site_fract_x
_atom_site_fract_y
_atom_site_fract_z
_atom_site_occupancy
Ac1 Ac 0.1694 0.3306 0.0000 1
In1 In 0.0000 0.0000 0.0000 1
Pd1 Pd 0.0000 0.5000 0.5000 1
Pd2 Pd 0.0675 0.8015 0.5000 1
Rh1 Rh 0.1286 0.6286 0.0000 1

=====

No. 3
# AcInPdRh (GGA-PBE, relaxed)
# Polymorph energy (0 for the lowest one) in meV/atom: 152
# Energy relative to the elements in meV per atom: -523
data_AcInPdRh
_chemical_formula_sum 'Ac4 In4 Pd4 Rh4'
_cell_length_a 7.0943
_cell_length_b 7.0943
_cell_length_c 7.0943
_cell_angle_alpha 90.00
_cell_angle_beta 90.00
_cell_angle_gamma 90.00
_symmetry_space_group_name_H-M 'F -4 3 m'
_symmetry_Int_Tables_number 216
_symmetry_space_group_name_Hall 'F -4 2 3'
loop_
_atom_site_label
_atom_site_type_symbol
_atom_site_fract_x
_atom_site_fract_y
_atom_site_fract_z
_atom_site_occupancy
Ac1 Ac 0.0000 0.0000 0.0000 1
In1 In 0.0000 0.0000 0.5000 1
Pd1 Pd 0.2500 0.2500 0.7500 1
Rh1 Rh 0.2500 0.2500 0.2500 1

=====

No. 4
# Ac2In5Pd2Rh (GGA-PBE, relaxed)
# Energy relative to the elements in meV per atom: -441
data_Ac2In5Pd2Rh
_chemical_formula_sum 'Ac4 In10 Pd4 Rh2'
_cell_length_a 10.5838
_cell_length_b 10.5838
_cell_length_c 4.3460
_cell_angle_alpha 90.00
_cell_angle_beta 90.00
_cell_angle_gamma 90.00
_symmetry_space_group_name_H-M 'P 4/m b m'
_symmetry_Int_Tables_number 127
_symmetry_space_group_name_Hall '-P 4 2ab'
loop_
_atom_site_label
_atom_site_type_symbol
_atom_site_fract_x
_atom_site_fract_y
_atom_site_fract_z
_atom_site_occupancy
Ac1 Ac 0.1853 0.3147 0.0000 1
In1 In 0.0000 0.5000 0.5000 1
In2 In 0.0500 0.8053 0.5000 1
Pd1 Pd 0.1142 0.6142 0.0000 1
Rh1 Rh 0.0000 0.0000 0.0000 1

=====

Q: Among the records above, which one has the highest energy relative to the elements?
A: Ac2In5Pd2Rh